## ZnCo2Cl (PBEsol)

Data for a relaxed structure of ZnCo2Cl.

Formation energy without anion corrections, eV/atom: 0.220

Structure (extended XYZ):
```
4
Lattice="-0.5040 1.0918 -2.4670 -1.0217 -3.2519 -2.7570 -5.6748 1.0062 0.0780" Properties=species:S:1:pos:R:3 pbc="T T T"
Zn -3.6003 -0.5770 -2.5730
Cl -0.2520 0.5459 -1.2335
Co -3.3170 -1.8186 -4.7070
Co -3.8836 0.6646 -0.4391
```


## BaSr2As (PBEsol)

Data for a relaxed structure of BaSr2As.

Energy relative to the elements, meV/atom: -598

Structure (extended XYZ):
```
4
Lattice="4.4869 0.0000 0.0000 2.2435 3.8858 0.0000 2.2435 1.2953 10.9546" Properties=species:S:1:pos:R:3 pbc="T T T"
As 4.4869 2.5905 5.4773
Sr 2.2435 1.2953 3.8781
Sr 6.7304 3.8858 7.0765
Ba 0.0000 0.0000 0.0000
```


## Be5Cu (PBEsol)

Data for a relaxed structure of Be5Cu.

Energy relative to the elements, meV/atom: -58

Structure (extended XYZ):
```
6
Lattice="-2.2209 2.4852 1.4158 -2.9292 -1.2118 -2.4677 0.4082 -1.6966 3.6184" Properties=species:S:1:pos:R:3 pbc="T T T"
Be 0.2608 -1.0839 2.3117
Be -0.9104 -1.0503 0.4156
Be -1.8714 -0.7742 -1.5765
Be -2.9271 -0.1308 0.2689
Be -1.8147 -0.2924 2.2976
Cu -1.1104 1.2426 0.7079
```


## KMn2P (PBEsol)

Data for a relaxed structure of KMn2P.

Energy relative to the elements, meV/atom: 677

Structure (extended XYZ):
```
4
Lattice="-2.2601 -1.5526 0.0647 0.1612 -2.6249 0.7791 -2.1244 1.0342 8.7525" Properties=species:S:1:pos:R:3 pbc="T T T"
Mn -3.0723 -2.5195 6.6316
Mn -1.1509 -0.6238 2.9646
P -2.1116 -1.5717 4.7981
K 0.0000 0.0000 0.0000
```


## MgMnCr2 (PBEsol)

Data for a relaxed structure of MgMnCr2.

Energy relative to the elements, meV/atom: 440

Structure (extended XYZ):
```
4
Lattice="-2.7345 0.1094 0.7389 -1.1203 -0.4796 -4.0748 1.8965 -3.8512 2.1515" Properties=species:S:1:pos:R:3 pbc="T T T"
Mg -1.9275 -0.2065 -1.6654
Cr -1.3813 -1.7856 0.5899
Cr -1.9581 -4.2071 -1.1861
Mn -0.5769 -2.4289 -1.7752
```


## CaCuRe2 (PBEsol)

Data for a relaxed structure of CaCuRe2.

Energy relative to the elements, meV/atom: 312

Structure (extended XYZ):
```
4
Lattice="-0.3637 -2.9919 0.6650 1.9381 -0.7433 -2.2841 5.5136 0.3447 4.5660" Properties=species:S:1:pos:R:3 pbc="T T T"
Cu 4.3925 0.2746 3.6376
Re 0.8232 -1.8654 -0.7798
Re 1.0555 0.0660 0.8741
Ca 3.5734 -1.6934 1.4979
```


## CsGa2I2 (PBEsol)

Data for a relaxed structure of CsGa2I2.

Formation energy without anion corrections, eV/atom: -0.573

Structure (extended XYZ):
```
5
Lattice="-1.3289 2.4205 -2.9804 -3.2034 -2.4376 -0.5513 -3.0300 5.4373 8.5362" Properties=species:S:1:pos:R:3 pbc="T T T"
Ga -3.3125 3.9246 1.8950
Ga -4.2498 1.4956 3.1095
I -3.5194 1.2761 -0.1637
I -4.0429 4.1441 5.1682
Cs 0.0000 0.0000 0.0000
```


## Ti2ZnOsF (PBEsol)

Data for a relaxed structure of Ti2ZnOsF.

Formation energy without anion corrections, eV/atom: 0.659

Structure (extended XYZ):
```
5
Lattice="3.5352 0.0000 0.0000 0.0000 4.7744 0.0000 0.0000 0.0000 4.7744" Properties=species:S:1:pos:R:3 pbc="T T T"
Zn 0.0000 0.0000 0.0000
Ti 0.0000 2.3872 0.0000
Ti 0.0000 0.0000 2.3872
F 1.7676 0.0000 0.0000
Os 1.7676 2.3872 2.3872
```


## Ag2TeAs (PBEsol)

Data for a relaxed structure of Ag2TeAs.

Formation energy without anion corrections, eV/atom: 0.152

Structure (extended XYZ):
```
4
Lattice="-1.9453 -1.7046 -3.1118 1.8311 -2.8484 -2.2152 -2.1709 -5.7129 1.8557" Properties=species:S:1:pos:R:3 pbc="T T T"
Te -1.1426 -5.1329 -1.7356
As 0.0000 0.0000 0.0000
Ag -1.7774 -7.8244 -2.4952
Ag -0.5077 -2.4414 -0.9760
```


## ScNi4Sn (PBEsol)

Data for a relaxed structure of ScNi4Sn.

Energy relative to the elements, meV/atom: -446

Structure (extended XYZ):
```
6
Lattice="4.8116 0.0000 0.0000 2.4058 4.1670 0.0000 2.4058 1.3890 3.9287" Properties=species:S:1:pos:R:3 pbc="T T T"
Ni 4.8116 2.7780 3.4379
Ni 4.8116 4.1672 1.4732
Ni 3.6085 2.0834 1.4732
Ni 6.0148 2.0834 1.4732
Sn 7.2174 4.1670 2.9465
Sc 0.0000 0.0000 0.0000
```


## AlTl2Hg (PBEsol)

Data for a relaxed structure of AlTl2Hg.

Energy relative to the elements, meV/atom: 121

Structure (extended XYZ):
```
4
Lattice="3.3789 0.0000 0.0000 0.0000 5.3141 0.0000 -1.6894 -2.6571 5.4146" Properties=species:S:1:pos:R:3 pbc="T T T"
Al 1.6894 2.6571 0.1497
Tl 1.6894 0.0000 2.9753
Tl 1.6894 2.6571 5.3097
Hg 0.0000 2.6570 2.3945
```


## La2TcAu (PBEsol)

Data for a relaxed structure of La2TcAu.

Energy relative to the elements, meV/atom: 79

Structure (extended XYZ):
```
4
Lattice="-1.5763 3.3735 -0.0259 -1.9626 -0.8937 3.0357 5.4370 2.5733 4.2725" Properties=species:S:1:pos:R:3 pbc="T T T"
La -0.0304 2.0630 2.8714
La 4.9342 2.3353 3.8774
Tc 3.0293 1.4337 2.3805
Au 2.1207 3.0811 4.5618
```


Number 1: DOS(E_F) 1.24 states/eV/atom, total moment 2.66 Bohr magnetons per cell. Number 2: DOS(E_F) 0.67 states/eV/atom, total moment 0.83 Bohr magnetons per cell. Number 3: DOS(E_F) 0.16 states/eV/atom, total moment 0.00 Bohr magnetons per cell. Number 4: DOS(E_F) 0.81 states/eV/atom, total moment 0.61 Bohr magnetons per cell. Number 5: DOS(E_F) 1.05 states/eV/atom, total moment 0.00 Bohr magnetons per cell. Number 6: DOS(E_F) 0.81 states/eV/atom, total moment 0.00 Bohr magnetons per cell. Number 7: DOS(E_F) 0.20 states/eV/atom, total moment 0.00 Bohr magnetons per cell. Number 8: DOS(E_F) 1.22 states/eV/atom, total moment 0.05 Bohr magnetons per cell. Number 9: DOS(E_F) 0.55 states/eV/atom, total moment 0.00 Bohr magnetons per cell. Number 10: DOS(E_F) 0.88 states/eV/atom, total moment 0.00 Bohr magnetons per cell. Number 11: DOS(E_F) 0.48 states/eV/atom, total moment 0.00 Bohr magnetons per cell. Number 12: DOS(E_F) 0.92 states/eV/atom, total moment 0.00 Bohr magnetons per cell.